VASP calculation (PBE-GGA) on LaBePt2 after structural relaxation.

Properties
DFT formation energy   -422 meV/atom
E_tot   -5.61 eV per atom
Magnetization   0.0 Bohr magnetons per cell

abc: 6.8237 5.9165 3.7314
angles: 90.00 90.12 90.00
With the nearest neighbours (Å) after each atom.
Fractional positions:
1 La 0.0000 0.0000 0.0000  8 Pt 2.93, 2 Be 2.96
2 La 0.5000 0.5000 0.0000  8 Pt 2.93, 2 Be 2.96
3 Be 0.0000 0.5000 0.0000  8 Pt 2.93, 2 La 2.96
4 Be 0.5000 0.0000 0.0000  8 Pt 2.93, 2 La 2.96
5 Pt 0.2500 0.2500 0.5000  4 La 2.93, 4 Be 2.93, 2 Pt 2.96
6 Pt 0.2500 0.7500 0.5000  4 La 2.93, 4 Be 2.93, 2 Pt 2.96
7 Pt 0.7500 0.2500 0.5000  4 La 2.93, 4 Be 2.93, 2 Pt 2.96
8 Pt 0.7500 0.7500 0.5000  4 La 2.93, 4 Be 2.93, 2 Pt 2.96